(1)
The following is a PBE-GGA calculation of a geometry-optimized HRu3Pt structure, from Alexandria.

abc: 3.901 3.901 3.901
angles: 90.00 90.00 90.00
Space group Pm-3m (No. 221)
Asymmetric unit:
H 0.000 0.000 0.000 x1
Ru 0.000 0.000 0.500 x3
Pt 0.500 0.500 0.500 x1

Relative energy among the computed polymorphs   0 meV per atom
Raw total energy   -7.360 eV per atom

(2)
The following is a PBE-GGA calculation of a geometry-optimized Sc2FeHg structure, from Alexandria.

abc: 6.710 6.717 3.397
angles: 90.00 90.00 90.00
Space group Cmmm (No. 65)
Asymmetric unit:
Sc 0.250 0.250 0.000 x4
Fe 0.000 0.000 0.500 x2
Hg 0.000 0.500 0.500 x2

Raw total energy   -5.501 eV per atom
ΔH_f (0 K)   -0.14 eV per atom

Number 1: V 59 Å³/cell, calculated density 13966 kg/m3. Number 2: V 153 Å³/cell, calculated density 7514 kg/m3.